1.
{
  "formula": "TaVNi3",
  "functional": "PBE",
  "state": "optimized geometry",
  "polymorph_energy_mev_per_atom": 895,
  "cell": [[-1.7412, -3.8161, 0.3166], [3.6908, -1.7652, -0.9779], [1.0200, -0.1270, 4.0789]],
  "species": ["Ni", "Ni", "Ni", "Ta", "V"],
  "fractional_positions": [[0.0000, 0.5000, 0.0000], [0.0000, 0.0000, 0.5000], [0.5000, 0.0000, 0.0000], [0.5000, 0.5000, 0.5000], [0.0000, 0.0000, 0.0000]]
}



2.
{
  "formula": "TaVNi",
  "functional": "PBE",
  "state": "optimized geometry",
  "polymorph_energy_mev_per_atom": 0,
  "cell": [[-0.1971, -0.9780, -4.8088], [-0.2645, -3.6575, 3.2669], [-8.0340, 0.7407, 0.1787]],
  "species": ["Ta", "Ta", "Ta", "Ta", "V", "V", "V", "V", "Ni", "Ni", "Ni", "Ni"],
  "fractional_positions": [[0.3243, 0.6757, 0.1846], [0.6592, 0.3408, 0.3061], [0.6592, 0.3408, 0.6939], [0.3243, 0.6757, 0.8154], [0.8429, 0.1571, 0.0000], [0.1678, 0.3410, 0.5000], [0.6590, 0.8322, 0.5000], [0.1721, 0.8279, 0.5000], [0.9996, 0.0004, 0.2450], [0.9996, 0.0004, 0.7550], [0.8397, 0.6490, 0.0000], [0.3510, 0.1603, 0.0000]]
}



3.
{
  "formula": "TaV2Ni2",
  "functional": "PBE",
  "state": "optimized geometry",
  "polymorph_energy_mev_per_atom": 0,
  "cell": [[7.1910, 0.0000, 0.0000], [0.0000, 7.1910, 0.0000], [0.0000, 0.0000, 2.6016]],
  "species": ["Ni", "Ni", "Ni", "Ni", "Ta", "Ta", "V", "V", "V", "V"],
  "fractional_positions": [[0.3773, 0.8773, 0.0000], [0.8773, 0.6227, 0.0000], [0.6227, 0.1227, 0.0000], [0.1227, 0.3773, 0.0000], [0.0000, 0.0000, 0.0000], [0.5000, 0.5000, 0.0000], [0.1719, 0.6719, 0.5000], [0.6719, 0.8281, 0.5000], [0.8281, 0.3281, 0.5000], [0.3281, 0.1719, 0.5000]]
}



4.
{
  "formula": "Ta2VNi",
  "functional": "PBE",
  "state": "optimized geometry",
  "cell": [[-1.7836, -1.8802, 2.7877], [1.3440, -3.2912, -1.3599], [7.2639, -1.7430, 6.0705]],
  "species": ["Ni", "Ni", "Ta", "Ta", "Ta", "Ta", "V", "V"],
  "fractional_positions": [[0.0000, 0.0000, 0.0000], [0.7500, 0.2500, 0.5000], [0.6226, 0.1250, 0.2500], [0.1274, 0.6250, 0.2500], [0.3750, 0.3774, 0.7500], [0.8750, 0.8726, 0.7500], [0.5000, 0.5000, 0.0000], [0.2500, 0.7500, 0.5000]]
}



5.
{
  "formula": "TaVNi14",
  "functional": "PBE",
  "state": "optimized geometry",
  "cell": [[-0.0478, -3.5791, 3.5894], [4.6713, 1.3626, 1.4208], [-2.7456, 4.6333, 4.5835]],
  "species": ["Ta", "V", "Ni", "Ni", "Ni", "Ni", "Ni", "Ni", "Ni", "Ni", "Ni", "Ni", "Ni", "Ni", "Ni", "Ni"],
  "fractional_positions": [[0.8750, 0.8750, 0.5000], [0.3750, 0.3750, 0.5000], [0.8750, 0.8750, 0.0000], [0.3750, 0.3750, 0.0000], [0.8750, 0.3750, 0.5000], [0.8750, 0.3750, 0.0000], [0.3750, 0.8750, 0.5000], [0.3750, 0.8750, 0.0000], [0.6212, 0.1288, 0.2470], [0.6212, 0.1288, 0.7530], [0.1288, 0.6212, 0.2470], [0.1288, 0.6212, 0.7530], [0.6212, 0.6212, 0.2470], [0.6212, 0.6212, 0.7530], [0.1288, 0.1288, 0.2470], [0.1288, 0.1288, 0.7530]]
}



6.
{
  "formula": "Ta2VNi2",
  "functional": "PBE",
  "state": "optimized geometry",
  "cell": [[-5.2804, 4.2767, -0.9551], [-3.7158, -3.5770, 4.5259], [1.0622, 1.8291, 2.3177]],
  "species": ["Ni", "Ni", "Ni", "Ni", "Ta", "Ta", "Ta", "Ta", "V", "V"],
  "fractional_positions": [[0.3772, 0.8772, 0.0000], [0.8772, 0.6228, 0.0000], [0.6228, 0.1228, 0.0000], [0.1228, 0.3772, 0.0000], [0.1773, 0.6773, 0.5000], [0.6773, 0.8227, 0.5000], [0.8227, 0.3227, 0.5000], [0.3227, 0.1773, 0.5000], [0.0000, 0.0000, 0.0000], [0.5000, 0.5000, 0.0000]]
}



7.
{
  "formula": "TaVNi",
  "functional": "PBE",
  "state": "optimized geometry",
  "polymorph_energy_mev_per_atom": 171,
  "cell": [[5.8078, 0.0000, 0.0046], [0.0000, 3.2134, 0.0000], [-2.8628, 0.0000, 9.2006]],
  "species": ["Ni", "Ni", "Ni", "Ni", "V", "V", "V", "V", "Ta", "Ta", "Ta", "Ta"],
  "fractional_positions": [[0.6494, 0.0000, 0.7284], [0.6494, 0.5000, 0.2284], [0.8226, 0.0000, 0.0729], [0.8226, 0.5000, 0.5729], [0.4695, 0.0000, 0.3879], [0.4695, 0.5000, 0.8879], [0.1470, 0.0000, 0.7335], [0.1470, 0.5000, 0.2335], [0.3364, 0.0000, 0.0685], [0.3364, 0.5000, 0.5685], [0.9637, 0.0000, 0.3960], [0.9637, 0.5000, 0.8960]]
}



8.
{
  "formula": "Ta4V4Ni",
  "functional": "PBE",
  "state": "optimized geometry",
  "cell": [[-2.8644, -2.2233, -3.0912], [3.8500, -4.8853, 3.6105], [-2.6003, -1.6968, 3.6142]],
  "species": ["Ta", "Ta", "Ta", "Ta", "V", "V", "V", "V", "Ni"],
  "fractional_positions": [[0.0531, 0.6306, 0.4225], [0.5775, 0.6306, 0.9469], [0.4230, 0.3692, 0.5770], [0.9462, 0.3692, 0.0538], [0.3723, 0.1445, 0.2277], [0.7723, 0.1445, 0.6277], [0.2283, 0.8557, 0.7717], [0.6274, 0.8557, 0.3726], [0.0000, 0.0000, 0.0000]]
}



Which DFT formation energy belongs to each record? In order, 0.909 -0.216 -0.034 0.642 -0.133 -0.064 -0.045 0.222 eV/atom.
Which DOS(E_F) belongs to each record? In order, 6.91 3.00 7.79 5.12 27.53 5.30 2.96 10.68 states/eV/f.u..